This record from the Alexandria database describes a relaxed CaAs2Pt crystal. The functional is PBE.

Cell lengths 3.4230, 3.7545, 6.3498 Å; angles 90.00, 90.00, 90.00 degrees
Atoms (fractional coordinates):
As  0.0000  0.0000  0.9585
As  0.5000  0.5000  0.2335
Ca  0.0000  0.0000  0.4834
Pt  0.5000  0.5000  0.8246

Results
* space-group type: Pmm2 (25)
* total energy: -4.75 eV per atom
* DOS at the Fermi energy: 0.58 states/eV per atom
* total magnetization: 0.0 μB per formula unit

---

This record from the Alexandria database describes a relaxed CaAs2Pt crystal. The functional is PBE.

Cell lengths 5.0593, 5.0593, 4.9983 Å; angles 70.11, 70.11, 48.40 degrees
Atoms (fractional coordinates):
As  0.0451  0.0451  0.9347
As  0.2653  0.2653  0.1535
Ca  0.4750  0.4750  0.5093
Pt  0.7145  0.7145  0.9025

Results
* space-group type: Cm (8)
* total energy: -4.90 eV per atom
* DOS at the Fermi energy: 0.47 states/eV per atom
* total magnetization: 0.0 μB per formula unit

---

This record from the Alexandria database describes a relaxed Ca3AsPt8 crystal. The functional is PBE.

Cell lengths 5.4778, 5.4778, 9.4443 Å; angles 73.14, 73.14, 60.00 degrees
Atoms (fractional coordinates):
Ca  0.6216  0.6216  0.1352
Ca  0.0108  0.0108  0.9677
Ca  0.4889  0.4889  0.5334
As  0.1570  0.1570  0.5290
Pt  0.5584  0.0567  0.8266
Pt  0.0559  0.5704  0.3178
Pt  0.5584  0.5584  0.8266
Pt  0.0559  0.0559  0.3178
Pt  0.8062  0.8062  0.5814
Pt  0.3099  0.3099  0.0702
Pt  0.0567  0.5584  0.8266
Pt  0.5704  0.0559  0.3178

Results
* space-group type: R3m (160)
* total energy: -5.66 eV per atom
* DOS at the Fermi energy: 0.51 states/eV per atom
* total magnetization: 0.0 μB per formula unit

---

This record from the Alexandria database describes a relaxed CaAs3Pt crystal. The functional is PBE.

Cell lengths 4.9995, 4.9995, 4.9995 Å; angles 90.00, 90.00, 90.00 degrees
Atoms (fractional coordinates):
As  0.0000  0.5000  0.0000
As  0.0000  0.0000  0.5000
As  0.5000  0.0000  0.0000
Ca  0.5000  0.5000  0.5000
Pt  0.0000  0.0000  0.0000

Results
* space-group type: Pm-3m (221)
* energy above the most stable polymorph in this dataset: 0 meV per atom
* total energy: -4.40 eV per atom
* DOS at the Fermi energy: 1.49 states/eV per atom
* total magnetization: 0.0 μB per formula unit